(1)
A plane-wave DFT calculation with PBE-GGA was carried out for a geometry-optimized BaCd2In4Rh structure.

- Total energy: -2.97 eV/atom
- Total magnetic moment: 0.000 μB/atom

```
data_BaCd2In4Rh
_symmetry_space_group_name_H-M 'R -3 m'
_symmetry_Int_Tables_number 166
_symmetry_space_group_name_Hall '-R 3 2"'
_cell_length_a 4.8567
_cell_length_b 4.8567
_cell_length_c 30.9296
_cell_angle_alpha 90.00
_cell_angle_beta 90.00
_cell_angle_gamma 120.00
loop_
_atom_site_label
_atom_site_type_symbol
_atom_site_fract_x
_atom_site_fract_y
_atom_site_fract_z
Ba1 Ba 0.0000 0.0000 0.0000
Cd1 Cd 0.0000 0.0000 0.2497
In1 In 0.0000 0.0000 0.1405
In2 In 0.0000 0.0000 0.4094
Rh1 Rh 0.0000 0.0000 0.5000
```


(2)
A plane-wave DFT calculation with PBE-GGA was carried out for a geometry-optimized MgSnHSe structure.

- Energy above the most stable polymorph in this dataset: 0 meV/atom
- Total magnetic moment: 0.000 μB/atom

```
data_MgSnHSe
_symmetry_space_group_name_H-M 'P 1'
_symmetry_Int_Tables_number 1
_cell_length_a 3.806
_cell_length_b 4.527
_cell_length_c 6.091
_cell_angle_alpha 69.10
_cell_angle_beta 71.81
_cell_angle_gamma 65.15
loop_
_symmetry_equiv_pos_as_xyz
'x,y,z'
loop_
_atom_site_label
_atom_site_type_symbol
_atom_site_fract_x
_atom_site_fract_y
_atom_site_fract_z
Mg1 Mg 0.000 0.000 0.000
Sn1 Sn 0.555 0.545 0.345
H1 H 0.782 0.104 0.338
Se1 Se 0.368 0.443 0.821
```


(3)
A plane-wave DFT calculation with PBE-GGA was carried out for a geometry-optimized W2SeCl structure.

- Energy relative to the elements, uncorrected: 0.0765 eV/atom
- Energy above the most stable polymorph in this dataset: 107 meV/atom
- Total magnetic moment: 0.000 μB/atom

```
data_W2SeCl
_symmetry_space_group_name_H-M 'P 4 m m'
_symmetry_Int_Tables_number 99
_cell_length_a 2.996
_cell_length_b 2.996
_cell_length_c 8.913
_cell_angle_alpha 90.00
_cell_angle_beta 90.00
_cell_angle_gamma 90.00
loop_
_symmetry_equiv_pos_as_xyz
'x,y,z'
'-y,x,z'
'-x,-y,z'
'y,-x,z'
'-x,y,z'
'y,x,z'
'x,-y,z'
'-y,-x,z'
loop_
_atom_site_label
_atom_site_type_symbol
_atom_site_fract_x
_atom_site_fract_y
_atom_site_fract_z
W1 W 0.000 0.000 0.000
W2 W 0.500 0.500 0.214
Se1 Se 0.500 0.500 0.826
Cl1 Cl 0.000 0.000 0.400
```


(4)
A plane-wave DFT calculation with PBE-GGA was carried out for a geometry-optimized Np2ZnCo3As4 structure.

- Total energy: -7.07 eV/atom
- Total magnetic moment: 0.674 μB/atom

```
data_Np2ZnCo3As4
_symmetry_space_group_name_H-M 'P -4 m 2'
_symmetry_Int_Tables_number 115
_cell_length_a 4.155
_cell_length_b 4.155
_cell_length_c 9.526
_cell_angle_alpha 90.00
_cell_angle_beta 90.00
_cell_angle_gamma 90.00
loop_
_symmetry_equiv_pos_as_xyz
'x,y,z'
'y,-x,-z'
'-x,-y,z'
'-y,x,-z'
'-x,y,z'
'-y,-x,-z'
'x,-y,z'
'y,x,-z'
loop_
_atom_site_label
_atom_site_type_symbol
_atom_site_fract_x
_atom_site_fract_y
_atom_site_fract_z
Np1 Np 0.000 0.500 0.242
Zn1 Zn 0.000 0.000 0.500
Co1 Co 0.000 0.500 0.889
Co2 Co 0.500 0.500 0.500
As1 As 0.000 0.000 0.000
As2 As 0.000 0.500 0.648
As3 As 0.500 0.500 0.000
```


| no. | DOS at the Fermi energy (states/eV/cell) |
| --- | --- |
| 1 | 9.28 |
| 2 | 0.74 |
| 3 | 3.29 |
| 4 | 23.43 |